Computed, not measured: a geometry-optimized Np2GeC structure at the PBE-GGA level of DFT.

Computed properties:
energy of formation: 1.81 kcal/mol of atoms
M_tot: 4.8 μB/cell
raw total energy: -0.3621 Ha/atom
space group: No. 166

Unit cell a=8.5591 b=8.5591 c=8.5591 alpha=20.70 beta=20.70 gamma=20.70
Atoms (fractional coordinates):
Np1 0.2283 0.2283 0.2283
Np2 0.7717 0.7717 0.7717
Ge1 0.0000 0.0000 0.0000
C1 0.5000 0.5000 0.5000

Computed, not measured: a geometry-optimized Tl2PW structure at the PBE-GGA level of DFT.

Computed properties:
energy of formation: 27.41 kcal/mol of atoms
M_tot: 2.3 μB/cell
raw total energy: -0.1685 Ha/atom
space group: No. 216
E above lowest polymorph: 93.9 kJ per mole of atoms

Unit cell a=4.9314 b=4.9314 c=4.9314 alpha=60.00 beta=60.00 gamma=60.00
Atoms (fractional coordinates):
Tl1 0.0000 0.0000 0.0000
Tl2 0.2500 0.2500 0.2500
P1 0.5000 0.5000 0.5000
W1 0.7500 0.7500 0.7500

Computed, not measured: a geometry-optimized Sn3Ir2Se3 structure at the PBE-GGA level of DFT.

Computed properties:
M_tot: 0.0 μB/cell
raw total energy: -0.2016 Ha/atom
space group: No. 148
ΔE_f (raw): -0.46 eV per atom

Unit cell a=9.0860 b=9.0860 c=9.0860 alpha=89.94 beta=89.94 gamma=89.94
Atoms (fractional coordinates):
Sn1 0.0016 0.6672 0.1518
Sn2 0.1518 0.0016 0.6672
Sn3 0.1678 0.3489 0.5005
Sn4 0.3328 0.8482 0.9984
Sn5 0.3489 0.5005 0.1678
Sn6 0.5005 0.1678 0.3489
Sn7 0.4995 0.8322 0.6511
Sn8 0.6511 0.4995 0.8322
Sn9 0.6672 0.1518 0.0016
Sn10 0.8322 0.6511 0.4995
Sn11 0.8482 0.9984 0.3328
Sn12 0.9984 0.3328 0.8482
Ir1 0.2444 0.7439 0.7452
Ir2 0.2450 0.2450 0.2450
Ir3 0.2548 0.7556 0.2561
Ir4 0.2561 0.2548 0.7556
Ir5 0.7439 0.7452 0.2444
Ir6 0.7452 0.2444 0.7439
Ir7 0.7550 0.7550 0.7550
Ir8 0.7556 0.2561 0.2548
Se1 0.0013 0.3466 0.1489
Se2 0.1489 0.0013 0.3466
Se3 0.1530 0.6497 0.4994
Se4 0.3466 0.1489 0.0013
Se5 0.3503 0.5006 0.8470
Se6 0.4994 0.1530 0.6497
Se7 0.5006 0.8470 0.3503
Se8 0.6497 0.4994 0.1530
Se9 0.6534 0.8511 0.9987
Se10 0.8470 0.3503 0.5006
Se11 0.8511 0.9987 0.6534
Se12 0.9987 0.6534 0.8511

Computed, not measured: a geometry-optimized Ac2LaTbPr5 structure at the PBE-GGA level of DFT.

Computed properties:
energy of formation: 2.92 kcal/mol of atoms
M_tot: 0.0 μB/cell
raw total energy: -0.1655 Ha/atom
space group: No. 36

Unit cell a=10.8439 b=10.8439 c=11.0895 alpha=90.00 beta=90.00 gamma=148.28
Atoms (fractional coordinates):
Ac1 0.1148 0.8852 0.5000
Ac2 0.1166 0.8834 0.0878
Ac3 0.8834 0.1166 0.5878
Ac4 0.8852 0.1148 0.0000
La1 0.4121 0.5879 0.2326
La2 0.5879 0.4121 0.7326
Tb1 0.2061 0.7939 0.7788
Tb2 0.7939 0.2061 0.2788
Pr1 0.0188 0.9812 0.7920
Pr2 0.2814 0.7186 0.0839
Pr3 0.2950 0.7050 0.4738
Pr4 0.3866 0.6134 0.7892
Pr5 0.4843 0.5157 0.5116
Pr6 0.5157 0.4843 0.0116
Pr7 0.6134 0.3866 0.2892
Pr8 0.7050 0.2950 0.9738
Pr9 0.7186 0.2814 0.5839
Pr10 0.9812 0.0188 0.2920

Computed, not measured: a geometry-optimized Al2AgW structure at the PBE-GGA level of DFT.

Computed properties:
energy of formation: 3.15 kcal/mol of atoms
M_tot: 0.0 μB/cell
raw total energy: -0.2089 Ha/atom
space group: No. 160
E above lowest polymorph: 12.2 kJ per mole of atoms

Unit cell a=9.2101 b=9.2101 c=9.2101 alpha=18.01 beta=18.01 gamma=18.01
Atoms (fractional coordinates):
Al1 0.0000 0.0000 0.0000
Al2 0.2501 0.2501 0.2501
Ag1 0.5022 0.5022 0.5022
W1 0.7467 0.7467 0.7467

Computed, not measured: a geometry-optimized KV4 structure at the PBE-GGA level of DFT.

Computed properties:
energy of formation: 57.39 kcal/mol of atoms
M_tot: 2.2 μB/cell
raw total energy: -0.1847 Ha/atom
space group: No. 221

Unit cell a=4.2980 b=4.2980 c=4.2980 alpha=90.00 beta=90.00 gamma=90.00
Atoms (fractional coordinates):
K1 0.0000 0.0000 0.0000
V1 0.0000 0.0000 0.5000
V2 0.0000 0.5000 0.0000
V3 0.5000 0.0000 0.0000
V4 0.5000 0.5000 0.5000

Computed, not measured: a geometry-optimized Na2Sr2Au structure at the PBE-GGA level of DFT.

Computed properties:
energy of formation: -4.07 kcal/mol of atoms
M_tot: 0.0 μB/cell
raw total energy: -0.0747 Ha/atom
space group: No. 139
E above lowest polymorph: 0.0 kJ per mole of atoms

Unit cell a=10.8969 b=10.8969 c=10.8969 alpha=158.13 beta=158.13 gamma=31.13
Atoms (fractional coordinates):
Na1 0.2500 0.7500 0.5000
Na2 0.7500 0.2500 0.5000
Sr1 0.0847 0.0847 0.0000
Sr2 0.9153 0.9153 0.0000
Au1 0.5000 0.5000 0.0000

Computed, not measured: a geometry-optimized Fe2TePd8 structure at the PBE-GGA level of DFT.

Computed properties:
M_tot: 8.0 μB/cell
raw total energy: -0.2109 Ha/atom
space group: No. 12
ΔE_f (raw): -0.14 eV per atom

Unit cell a=7.3304 b=7.3304 c=6.2315 alpha=105.04 beta=105.04 gamma=32.07
Atoms (fractional coordinates):
Fe1 0.2210 0.2210 0.1516
Fe2 0.7790 0.7790 0.8484
Te1 0.5000 0.5000 0.5000
Pd1 0.0443 0.0443 0.2315
Pd2 0.1554 0.1554 0.7209
Pd3 0.3188 0.3188 0.5789
Pd4 0.3994 0.3994 0.0336
Pd5 0.6006 0.6006 0.9664
Pd6 0.6812 0.6812 0.4211
Pd7 0.8446 0.8446 0.2791
Pd8 0.9557 0.9557 0.7685

Computed, not measured: a geometry-optimized LaGaI4 structure at the PBE-GGA level of DFT.

Computed properties:
M_tot: 0.0 μB/cell
raw total energy: -0.1279 Ha/atom
space group: No. 74
ΔE_f (raw): -1.12 eV per atom

Unit cell a=9.4972 b=9.4972 c=9.4972 alpha=121.08 beta=120.21 gamma=88.89
Atoms (fractional coordinates):
La1 0.0000 0.0000 0.0000
La2 0.5000 0.0000 0.5000
Ga1 0.5000 0.0000 0.0000
Ga2 0.5000 0.5000 0.5000
I1 0.2355 0.2300 0.0055
I2 0.2530 0.2385 0.4855
I3 0.2530 0.7675 0.0145
I4 0.2754 0.7700 0.5055
I5 0.7246 0.2300 0.4945
I6 0.7470 0.2325 0.9855
I7 0.7470 0.7615 0.5145
I8 0.7645 0.7700 0.9945

Computed, not measured: a geometry-optimized KHgH2Pd2 structure at the PBE-GGA level of DFT.

Computed properties:
M_tot: 0.0 μB/cell
raw total energy: -0.1201 Ha/atom
space group: No. 11

Unit cell a=4.9380 b=5.6595 c=8.0761 alpha=90.00 beta=99.71 gamma=90.00
Atoms (fractional coordinates):
K1 0.2350 0.2500 0.3945
K2 0.7650 0.7500 0.6055
Hg1 0.1539 0.7500 0.1040
Hg2 0.8461 0.2500 0.8960
H1 0.2290 0.2500 0.7121
H2 0.2945 0.7500 0.7126
H3 0.7055 0.2500 0.2874
H4 0.7710 0.7500 0.2879
Pd1 0.3232 0.0048 0.8374
Pd2 0.3232 0.4952 0.8374
Pd3 0.6768 0.5048 0.1626
Pd4 0.6768 0.9952 0.1626

Computed, not measured: a geometry-optimized Sr2LiBiP structure at the PBE-GGA level of DFT.

Computed properties:
energy of formation: -17.39 kcal/mol of atoms
M_tot: 0.0 μB/cell
raw total energy: -0.1348 Ha/atom
space group: No. 123

Unit cell a=5.9016 b=5.9016 c=4.6428 alpha=90.00 beta=90.00 gamma=90.00
Atoms (fractional coordinates):
Sr1 0.0000 0.5000 0.0000
Sr2 0.5000 0.0000 0.0000
Li1 0.0000 0.0000 0.5000
Bi1 0.5000 0.5000 0.5000
P1 0.0000 0.0000 0.0000

Computed, not measured: a geometry-optimized CsReN4 structure at the PBE-GGA level of DFT.

Computed properties:
M_tot: 0.2 μB/cell
raw total energy: -0.2595 Ha/atom
space group: No. 65
ΔE_f (raw): 0.70 eV per atom

Unit cell a=4.4970 b=4.4970 c=7.2630 alpha=90.00 beta=90.00 gamma=110.41
Atoms (fractional coordinates):
Cs1 0.0000 0.0000 0.0000
Re1 0.5000 0.5000 0.5000
N1 0.1117 0.1117 0.5000
N2 0.5000 0.5000 0.2486
N3 0.5000 0.5000 0.7514
N4 0.8883 0.8883 0.5000

Computed, not measured: a geometry-optimized Sc2VSb structure at the PBE-GGA level of DFT.

Computed properties:
M_tot: 2.2 μB/cell
raw total energy: -0.2482 Ha/atom
space group: No. 123
ΔE_f (raw): -0.28 eV per atom

Unit cell a=4.5265 b=4.5265 c=3.9788 alpha=90.00 beta=90.00 gamma=90.00
Atoms (fractional coordinates):
Sc1 0.0000 0.5000 0.0000
Sc2 0.5000 0.0000 0.0000
V1 0.0000 0.0000 0.5000
Sb1 0.5000 0.5000 0.5000

Computed, not measured: a geometry-optimized PrEuAsAu structure at the PBE-GGA level of DFT.

Computed properties:
energy of formation: -21.09 kcal/mol of atoms
M_tot: 7.8 μB/cell
raw total energy: -0.2447 Ha/atom
space group: No. 216

Unit cell a=5.2663 b=5.2663 c=5.2663 alpha=60.00 beta=60.00 gamma=60.00
Atoms (fractional coordinates):
Pr1 0.0000 0.0000 0.0000
Eu1 0.5000 0.5000 0.5000
As1 0.2500 0.2500 0.2500
Au1 0.7500 0.7500 0.7500

Computed, not measured: a geometry-optimized AlCrIr2 structure at the PBE-GGA level of DFT.

Computed properties:
energy of formation: 13.29 kcal/mol of atoms
M_tot: 1.7 μB/cell
raw total energy: -0.2644 Ha/atom
space group: No. 122

Unit cell a=6.4713 b=6.4713 c=6.4713 alpha=128.43 beta=128.43 gamma=75.93
Atoms (fractional coordinates):
Al1 0.0000 0.0000 0.0000
Al2 0.7500 0.2500 0.5000
Cr1 0.2500 0.7500 0.5000
Cr2 0.5000 0.5000 0.0000
Ir1 0.1470 0.6250 0.0220
Ir2 0.3750 0.3970 0.5220
Ir3 0.6030 0.1250 0.9780
Ir4 0.8750 0.8530 0.4780

Computed, not measured: a geometry-optimized CePa3P4N12 structure at the PBE-GGA level of DFT.

Computed properties:
M_tot: 1.2 μB/cell
raw total energy: -0.3178 Ha/atom
space group: No. 155
ΔE_f (raw): -0.85 eV per atom

Unit cell a=6.9356 b=6.9356 c=6.9356 alpha=103.44 beta=103.44 gamma=103.44
Atoms (fractional coordinates):
Ce1 0.0000 0.0000 0.0000
Pa1 0.0000 0.5419 0.4581
Pa2 0.4581 0.0000 0.5419
Pa3 0.5419 0.4581 0.0000
P1 0.0427 0.5000 0.9573
P2 0.5000 0.5000 0.5000
P3 0.5000 0.9573 0.0427
P4 0.9573 0.0427 0.5000
N1 0.0261 0.6375 0.8044
N2 0.1041 0.8959 0.5000
N3 0.1956 0.3625 0.9739
N4 0.3532 0.6468 0.5000
N5 0.3625 0.9739 0.1956
N6 0.5000 0.1041 0.8959
N7 0.5000 0.3532 0.6468
N8 0.6375 0.8044 0.0261
N9 0.6468 0.5000 0.3532
N10 0.8044 0.0261 0.6375
N11 0.8959 0.5000 0.1041
N12 0.9739 0.1956 0.3625

Computed, not measured: a geometry-optimized SnHPd3 structure at the PBE-GGA level of DFT.

Computed properties:
M_tot: 0.0 μB/cell
raw total energy: -0.1822 Ha/atom
space group: No. 4
E above lowest polymorph: 2.0 kJ per mole of atoms

Unit cell a=5.7085 b=4.4107 c=5.8318 alpha=90.00 beta=106.22 gamma=90.00
Atoms (fractional coordinates):
Sn1 0.1520 0.0000 0.2959
Sn2 0.8480 0.5000 0.7041
H1 0.4021 0.2602 0.8605
H2 0.5979 0.7602 0.1395
Pd1 0.1295 0.9989 0.7789
Pd2 0.3346 0.4997 0.0953
Pd3 0.3551 0.4991 0.5897
Pd4 0.6449 0.9991 0.4103
Pd5 0.6654 0.9997 0.9047
Pd6 0.8705 0.4989 0.2211

Computed, not measured: a geometry-optimized Ba3TiAl structure at the PBE-GGA level of DFT.

Computed properties:
energy of formation: 17.91 kcal/mol of atoms
M_tot: 1.7 μB/cell
raw total energy: -0.0994 Ha/atom
space group: No. 221
E above lowest polymorph: 0.0 kJ per mole of atoms

Unit cell a=6.1436 b=6.1436 c=6.1436 alpha=90.00 beta=90.00 gamma=90.00
Atoms (fractional coordinates):
Ba1 0.0000 0.0000 0.5000
Ba2 0.0000 0.5000 0.0000
Ba3 0.5000 0.0000 0.0000
Ti1 0.0000 0.0000 0.0000
Al1 0.5000 0.5000 0.5000

Computed, not measured: a geometry-optimized Ag2Hg2P structure at the PBE-GGA level of DFT.

Computed properties:
energy of formation: 9.19 kcal/mol of atoms
M_tot: 0.0 μB/cell
raw total energy: -0.0715 Ha/atom
space group: No. 127
E above lowest polymorph: 8.2 kJ per mole of atoms

Unit cell a=8.1848 b=8.1848 c=3.1189 alpha=90.00 beta=90.00 gamma=90.00
Atoms (fractional coordinates):
Ag1 0.1213 0.3787 0.0000
Ag2 0.3787 0.8787 0.0000
Ag3 0.6213 0.1213 0.0000
Ag4 0.8787 0.6213 0.0000
Hg1 0.1773 0.6773 0.5000
Hg2 0.3227 0.1773 0.5000
Hg3 0.6773 0.8227 0.5000
Hg4 0.8227 0.3227 0.5000
P1 0.0000 0.0000 0.5000
P2 0.5000 0.5000 0.5000

Computed, not measured: a geometry-optimized Dy7Mg2In2 structure at the PBE-GGA level of DFT.

Computed properties:
energy of formation: 3.16 kcal/mol of atoms
M_tot: 0.0 μB/cell
raw total energy: -0.1315 Ha/atom
space group: No. 65

Unit cell a=6.6185 b=6.6185 c=8.7419 alpha=90.00 beta=90.00 gamma=117.25
Atoms (fractional coordinates):
Dy1 0.0000 0.0000 0.0000
Dy2 0.0000 0.5000 0.3030
Dy3 0.0000 0.5000 0.6970
Dy4 0.5000 0.0000 0.3030
Dy5 0.5000 0.0000 0.6970
Dy6 0.5000 0.5000 0.2128
Dy7 0.5000 0.5000 0.7872
Mg1 0.2760 0.7240 0.0000
Mg2 0.7240 0.2760 0.0000
In1 0.2153 0.2153 0.5000
In2 0.7847 0.7847 0.5000